A relaxed structure of CaTl5Cd2, computed with GGA-PBE.

Cell lengths 8.3011, 8.3011, 8.9532 Å; angles 117.62, 117.62, 90.00 degrees
Element x y z (fractional)
1 Ca 0.7500 0.7500 0.5000
2 Ca 0.2500 0.2500 0.5000
3 Tl 0.4976 0.6925 0.6901
4 Tl 0.8075 0.0024 0.3099
5 Tl 0.0000 0.0000 0.0000
6 Tl 0.5000 0.5000 0.0000
7 Tl 0.1925 0.9976 0.6901
8 Tl 0.6925 0.1925 0.6901
9 Tl 0.9976 0.4976 0.6901
10 Tl 0.3075 0.8075 0.3099
11 Tl 0.0024 0.5024 0.3099
12 Tl 0.5024 0.3075 0.3099
13 Cd 0.1391 0.3609 0.0000
14 Cd 0.6391 0.1391 0.0000
15 Cd 0.3609 0.8609 0.0000
16 Cd 0.8609 0.6391 0.0000

- ΔH_f (0 K): -43.3 meV per atom
- Space group: I4/mcm (140)
- Magnetization: 0.0 μB per formula unit

---

A relaxed structure of InAg3Br2Cl6, computed with GGA-PBE.

Cell lengths 6.0628, 7.5853, 7.8659 Å; angles 118.83, 93.41, 90.00 degrees
Element x y z (fractional)
1 In 0.5000 0.0000 0.0000
2 Ag 0.0000 0.5000 0.0000
3 Ag 0.5000 0.5000 0.5000
4 Ag 0.5000 0.0000 0.5000
5 Br 0.2363 0.6677 0.3354
6 Br 0.7637 0.3323 0.6646
7 Cl 0.7468 0.3179 0.1595
8 Cl 0.2532 0.6821 0.8405
9 Cl 0.7196 0.8420 0.6841
10 Cl 0.2804 0.1580 0.3159
11 Cl 0.2532 0.1584 0.8405
12 Cl 0.7468 0.8416 0.1595

- Formation energy (no corrections): -52.9 kJ/mol of atoms
- Space group: C2/m (12)
- Magnetization: 0.0 μB per formula unit

---

A relaxed structure of Zr4TlCo, computed with GGA-PBE.

Cell lengths 4.0160, 5.0481, 7.9686 Å; angles 118.25, 90.00, 90.00 degrees
Element x y z (fractional)
1 Zr 0.0000 0.2461 0.6932
2 Zr 0.0000 0.7539 0.3068
3 Zr 0.5000 0.2251 0.2896
4 Zr 0.5000 0.7749 0.7104
5 Tl 0.5000 0.5000 0.0000
6 Co 0.0000 0.5000 0.5000

- ΔH_f (0 K): 116.8 meV per atom
- Space group: P2/m (10)
- Magnetization: 0.0 μB per formula unit

---

> Look up the magnetization of the third one.

0.0 μB per formula unit